VASP calculation (PBE) on a relaxed SrBiPb2 crystal.

Computed properties:
energy of formation = 0.117 eV per atom
total magnetization = 0.0 μB/f.u.

Geometry as extended XYZ:
```
4
Lattice="2.024 1.169 11.245 -2.024 1.169 11.245 0.000 -2.338 11.245" Properties=species:S:1:pos:R:3 pbc="T T T"
Sr 0.000 0.000 0.000
Bi 0.000 0.000 16.868
Pb 0.000 0.000 3.394
Pb 0.000 0.000 30.341
```